Below is PmPrTm2Sb4 after structural relaxation, with properties calculated at the PBE level.

Lattice parameters (Å, degrees): 7.6660 4.4385 7.6821 90.00 109.52 90.00
Fractional positions:
Pm (0.0000, 0.0000, 0.0000)
Pr (0.0000, 0.5000, 0.5000)
Tm (0.5000, 0.0000, 0.5000)
Tm (0.5000, 0.5000, 0.0000)
Sb (0.2619, 0.5000, 0.2522)
Sb (0.2631, 0.0000, 0.7562)
Sb (0.7369, 0.0000, 0.2438)
Sb (0.7381, 0.5000, 0.7478)

## Properties
The calculation puts the total energy at -5.493 eV/atom. The density of states at the Fermi level is 1.11 states/eV/cell.

***

Below is Pm2PrY3Sb6 after structural relaxation, with properties calculated at the PBE level.

Lattice parameters (Å, degrees): 7.7193 7.7193 7.7046 99.61 99.61 120.00
Fractional positions:
Pm (0.1669, 0.8331, 0.0000)
Pm (0.8331, 0.1669, 0.0000)
Pr (0.5000, 0.5000, 0.0000)
Y (0.0000, 0.0000, 0.5000)
Y (0.3342, 0.6658, 0.5000)
Y (0.6658, 0.3342, 0.5000)
Sb (0.0784, 0.4139, 0.7420)
Sb (0.2502, 0.2502, 0.2574)
Sb (0.4139, 0.0784, 0.7420)
Sb (0.5861, 0.9216, 0.2580)
Sb (0.7498, 0.7498, 0.7426)
Sb (0.9216, 0.5861, 0.2580)

## Properties
The calculation puts the total energy at -6.042 eV/atom. The density of states at the Fermi level is 2.17 states/eV/cell.

***

Below is PmPr6Sc2 after structural relaxation, with properties calculated at the PBE level.

Lattice parameters (Å, degrees): 8.1392 8.1392 10.4646 90.00 90.00 90.00
Fractional positions:
Pm (0.0000, 0.0000, 0.0000)
Pm (0.5000, 0.5000, 0.5000)
Pr (0.2323, 0.2323, 0.5000)
Pr (0.2426, 0.2426, 0.1695)
Pr (0.2426, 0.2426, 0.8305)
Pr (0.2574, 0.7426, 0.3305)
Pr (0.2574, 0.7426, 0.6695)
Pr (0.2677, 0.7323, 0.0000)
Pr (0.7323, 0.2677, 0.0000)
Pr (0.7426, 0.2574, 0.3305)
Pr (0.7426, 0.2574, 0.6695)
Pr (0.7574, 0.7574, 0.1695)
Pr (0.7574, 0.7574, 0.8305)
Pr (0.7677, 0.7677, 0.5000)
Sc (0.0000, 0.0000, 0.3366)
Sc (0.0000, 0.0000, 0.6634)
Sc (0.5000, 0.5000, 0.1634)
Sc (0.5000, 0.5000, 0.8366)

## Properties
The density of states at the Fermi level is 30.45 states/eV/cell. The formation enthalpy at 0 K comes out at 0.55 eV/atom.

***

Below is Pm4Pr8Sc after structural relaxation, with properties calculated at the PBE level.

Lattice parameters (Å, degrees): 10.5245 10.5245 10.5245 41.33 41.33 41.33
Fractional positions:
Pm (0.0000, 0.0000, 0.0000)
Pm (0.0000, 0.5000, 0.5000)
Pm (0.5000, 0.0000, 0.5000)
Pm (0.5000, 0.5000, 0.0000)
Pr (0.2037, 0.7474, 0.7474)
Pr (0.2143, 0.2143, 0.2143)
Pr (0.2526, 0.2526, 0.7963)
Pr (0.2526, 0.7963, 0.2526)
Pr (0.7474, 0.2037, 0.7474)
Pr (0.7474, 0.7474, 0.2037)
Pr (0.7857, 0.7857, 0.7857)
Pr (0.7963, 0.2526, 0.2526)
Sc (0.5000, 0.5000, 0.5000)

## Properties
The density of states at the Fermi level is 14.74 states/eV/cell. The formation enthalpy at 0 K comes out at 0.16 eV/atom.

***

Below is Pm3Pr5Sc after structural relaxation, with properties calculated at the PBE level.

Lattice parameters (Å, degrees): 9.7215 9.7215 9.7215 121.50 121.50 87.42
Fractional positions:
Pm (0.1109, 0.6109, 0.7217)
Pm (0.2500, 0.2500, 0.0000)
Pm (0.3891, 0.1109, 0.5000)
Pm (0.6109, 0.8891, 0.5000)
Pm (0.7500, 0.7500, 0.0000)
Pm (0.8891, 0.3891, 0.2783)
Pr (0.0000, 0.0000, 0.0000)
Pr (0.0642, 0.1646, 0.5000)
Pr (0.1646, 0.6646, 0.1004)
Pr (0.3354, 0.4358, 0.5000)
Pr (0.4358, 0.9358, 0.1004)
Pr (0.5000, 0.5000, 0.0000)
Pr (0.5642, 0.0642, 0.8996)
Pr (0.6646, 0.5642, 0.5000)
Pr (0.8354, 0.3354, 0.8996)
Pr (0.9358, 0.8354, 0.5000)
Sc (0.2500, 0.7500, 0.5000)
Sc (0.7500, 0.2500, 0.5000)

## Properties
The density of states at the Fermi level is 29.17 states/eV/cell. The formation enthalpy at 0 K comes out at 0.29 eV/atom.

***

Below is Pm4Pr2Sc after structural relaxation, with properties calculated at the PBE level.

Lattice parameters (Å, degrees): 7.1153 8.6708 8.9027 61.14 89.94 78.23
Fractional positions:
Pm (0.0000, 0.0000, 0.0000)
Pm (0.0294, 0.8793, 0.4464)
Pm (0.1394, 0.4385, 0.7197)
Pm (0.3206, 0.7142, 0.8630)
Pm (0.4970, 0.0003, 0.9964)
Pm (0.6389, 0.4377, 0.7202)
Pm (0.7105, 0.1512, 0.5840)
Pm (0.8527, 0.5866, 0.2979)
Pr (0.1702, 0.3120, 0.1430)
Pr (0.2108, 0.1639, 0.5734)
Pr (0.5299, 0.8806, 0.4422)
Pr (0.6725, 0.3086, 0.1481)
Sc (0.3540, 0.5807, 0.3132)
Sc (0.8212, 0.7078, 0.8553)

## Properties
The density of states at the Fermi level is 19.19 states/eV/cell. The formation enthalpy at 0 K comes out at 0.06 eV/atom.